# 1
# CaTbHgPt, relaxed, DFT PBE-GGA
data_CaTbHgPt
_cell_length_a 5.1019
_cell_length_b 5.1019
_cell_length_c 5.1019
_cell_angle_alpha 60.00
_cell_angle_beta 60.00
_cell_angle_gamma 60.00
_space_group_name_H-M_alt 'P 1'
_space_group_IT_number 1
loop_
_space_group_symop_operation_xyz
'x,y,z'
loop_
_atom_site_label
_atom_site_type_symbol
_atom_site_fract_x
_atom_site_fract_y
_atom_site_fract_z
Ca1 Ca 0.0000 0.0000 0.0000
Tb1 Tb 0.5000 0.5000 0.5000
Hg1 Hg 0.2500 0.2500 0.2500
Pt1 Pt 0.7500 0.7500 0.7500
# DFT total energy ... -3.998 eV/atom
# Space-group type ... F-43m, No. 216
# Spin magnetization ... 0.0 Bohr magnetons per cell

***

# 2
# CaTcHgPt2, relaxed, DFT PBE-GGA
data_CaTcHgPt2
_cell_length_a 4.9634
_cell_length_b 4.9634
_cell_length_c 4.9427
_cell_angle_alpha 90.00
_cell_angle_beta 90.00
_cell_angle_gamma 90.00
_space_group_name_H-M_alt 'P 1'
_space_group_IT_number 1
loop_
_space_group_symop_operation_xyz
'x,y,z'
loop_
_atom_site_label
_atom_site_type_symbol
_atom_site_fract_x
_atom_site_fract_y
_atom_site_fract_z
Ca1 Ca 0.0000 0.0000 0.0000
Tc1 Tc 0.0000 0.0000 0.5000
Hg1 Hg 0.5000 0.5000 0.5000
Pt1 Pt 0.0000 0.5000 0.0000
Pt2 Pt 0.5000 0.0000 0.0000
# DFT total energy ... -3.410 eV/atom
# Space-group type ... P4/mmm, No. 123
# Spin magnetization ... 2.9 Bohr magnetons per cell

***

Look up the DFT total energy of the first one. -3.998 eV/atom

***

Which of these has the lowest spin magnetization? CaTbHgPt

***

Which of these has the lowest DFT total energy? CaTbHgPt

***

The lowest spin magnetization belongs to which entry? CaTbHgPt